Record 1
Material: LaMg2Pt2
Method: DFT, PBE
State: optimized geometry

Cell: 7.6434 7.6434 3.5839 Å, 90.00 90.00 90.00°
Fractional positions:
Pt 0.6433 0.1433 0.0000
La 0.5000 0.5000 0.0000
Pt 0.3567 0.8567 0.0000
Mg 0.1421 0.6421 0.5000
Mg 0.6421 0.8579 0.5000
Mg 0.8579 0.3579 0.5000
Pt 0.8567 0.6433 0.0000
La 0.0000 0.0000 0.0000
Mg 0.3579 0.1421 0.5000
Pt 0.1433 0.3567 0.0000

VASP energy = -0.175 hartree per atom
size of the total moment = 0.000 μB per atom
crystal system = tetragonal
mass density = 9.2 g/cm3

Record 2
Material: LaMg9Pt2
Method: DFT, PBE
State: optimized geometry

Cell: 7.5605 9.0811 9.0811 Å, 80.02 65.40 65.40°
Fractional positions:
Pt 0.3750 0.7500 0.7500
Mg 0.6185 0.3202 0.0759
Mg 0.6887 0.5759 0.1798
Mg 0.7354 0.5759 0.8202
Mg 0.0000 0.0000 0.0000
La 0.2500 0.5000 0.5000
Pt 0.8750 0.2500 0.2500
Pt 0.8750 0.7500 0.2500
Mg 0.4444 0.8202 0.4241
Mg 0.7354 0.8202 0.5759
Mg 0.6887 0.1798 0.5759
Mg 0.4444 0.4241 0.8202
Mg 0.0146 0.6798 0.9241
Mg 0.7500 0.5000 0.5000
Mg 0.0613 0.3202 0.9241
Mg 0.6185 0.0759 0.3202
Mg 0.0146 0.9241 0.6798
Mg 0.1315 0.1798 0.4241
Mg 0.3056 0.6798 0.0759
Pt 0.8750 0.2500 0.7500
Mg 0.3056 0.0759 0.6798
La 0.5000 0.0000 0.0000
Mg 0.1315 0.4241 0.1798
Mg 0.0613 0.9241 0.3202

VASP energy = -0.111 hartree per atom
size of the total moment = 0.000 μB per atom
crystal system = tetragonal
mass density = 4.8 g/cm3

Record 3
Material: LaMgPt
Method: DFT, PBE
State: optimized geometry

Cell: 4.2661 4.2661 7.8529 Å, 90.00 90.00 90.00°
Fractional positions:
Pt 0.0000 0.5000 0.2538
La 0.0000 0.5000 0.8432
Mg 0.5000 0.5000 0.5000
Pt 0.5000 0.0000 0.7462
Mg 0.0000 0.0000 0.5000
La 0.5000 0.0000 0.1568

VASP energy = -0.186 hartree per atom
size of the total moment = 0.000 μB per atom
crystal system = tetragonal
mass density = 8.3 g/cm3

Record 4
Material: LaMgPt
Method: DFT, PBE
State: optimized geometry

Cell: 4.8610 4.8610 4.8610 Å, 60.00 60.00 60.00°
Fractional positions:
La 0.0000 0.0000 0.0000
Pt 0.7500 0.7500 0.7500
Mg 0.5000 0.5000 0.5000

VASP energy = -0.182 hartree per atom
size of the total moment = 0.000 μB per atom
crystal system = cubic
mass density = 7.3 g/cm3

Record 5
Material: LaMg2Pt
Method: DFT, PBE
State: optimized geometry

Cell: 4.7423 4.7423 5.7251 Å, 65.42 65.42 59.88°
Fractional positions:
La 0.2455 0.2455 0.2610
Mg 0.0363 0.0363 0.8909
Mg 0.7787 0.7787 0.6646
Pt 0.4395 0.4395 0.6835

VASP energy = -0.152 hartree per atom
size of the total moment = 0.000 μB per atom
crystal system = monoclinic
mass density = 6.5 g/cm3

Record 6
Material: LaMg2Pt
Method: DFT, PBE
State: optimized geometry

Cell: 4.2356 4.2376 5.2353 Å, 90.00 90.00 90.00°
Fractional positions:
Pt 0.5000 0.0000 0.5000
Mg 0.0000 0.0000 0.0000
Mg 0.5000 0.5000 0.0000
La 0.0000 0.5000 0.5000

VASP energy = -0.148 hartree per atom
size of the total moment = 0.000 μB per atom
crystal system = tetragonal
mass density = 6.8 g/cm3